[1]
# Tb2SmDy2Y4 | the Alexandria database | PBE | relaxed
data_Tb2SmDy2Y4
_chemical_formula_sum 'Tb4 Sm2 Dy4 Y8'
_cell_length_a 18.700
_cell_length_b 3.600
_cell_length_c 9.567
_cell_angle_alpha 90.00
_cell_angle_beta 115.75
_cell_angle_gamma 90.00
_symmetry_space_group_name_H-M 'C 1 2/m 1'
_symmetry_Int_Tables_number 12
loop_
_symmetry_equiv_pos_as_xyz
'x,y,z'
'-x,-y,-z'
'-x,y,-z'
'x,-y,z'
'x+1/2,y+1/2,z'
'-x+1/2,-y+1/2,-z'
'-x+1/2,y+1/2,-z'
'x+1/2,-y+1/2,z'
loop_
_atom_site_label
_atom_site_type_symbol
_atom_site_fract_x
_atom_site_fract_y
_atom_site_fract_z
_atom_site_occupancy
Tb1 Tb 0.148 0.000 0.167 1
Sm1 Sm 0.000 0.000 0.500 1
Dy1 Dy 0.167 0.500 0.500 1
Y1 Y 0.019 0.500 0.835 1
Y2 Y 0.186 0.000 0.834 1
# total moment	0.00	μB per cell
# energy of formation from the pure elements	-0.001	eV per atom
# electronic total energy	-98.103	eV/cell

[2]
# CrGaB3 | the Alexandria database | PBE | relaxed
data_CrGaB3
_chemical_formula_sum 'Cr1 Ga1 B3'
_cell_length_a 3.936
_cell_length_b 3.936
_cell_length_c 3.936
_cell_angle_alpha 90.00
_cell_angle_beta 90.00
_cell_angle_gamma 90.00
_symmetry_space_group_name_H-M 'P m -3 m'
_symmetry_Int_Tables_number 221
_symmetry_space_group_name_Hall '-P 4 2 3'
loop_
_atom_site_label
_atom_site_type_symbol
_atom_site_fract_x
_atom_site_fract_y
_atom_site_fract_z
_atom_site_occupancy
Cr1 Cr 0.000 0.000 0.000 1
Ga1 Ga 0.500 0.500 0.500 1
B1 B 0.000 0.000 0.500 1
# total moment	0.02	μB per cell
# polymorph energy (0 for the lowest one)	0	meV per atom
# energy of formation from the pure elements	1.142	eV per atom
# electronic total energy	-26.972	eV/cell

[3]
# BaBe2Rh | the Alexandria database | PBE | relaxed
data_BaBe2Rh
_chemical_formula_sum 'Ba2 Be4 Rh2'
_cell_length_a 6.878
_cell_length_b 3.991
_cell_length_c 6.273
_cell_angle_alpha 90.00
_cell_angle_beta 113.20
_cell_angle_gamma 90.00
_symmetry_space_group_name_H-M 'C 1 m 1'
_symmetry_Int_Tables_number 8
loop_
_symmetry_equiv_pos_as_xyz
'x,y,z'
'x,-y,z'
'x+1/2,y+1/2,z'
'x+1/2,-y+1/2,z'
loop_
_atom_site_label
_atom_site_type_symbol
_atom_site_fract_x
_atom_site_fract_y
_atom_site_fract_z
_atom_site_occupancy
Ba1 Ba 0.000 0.000 0.000 1
Be1 Be 0.033 0.500 0.505 1
Be2 Be 0.353 0.500 0.467 1
Rh1 Rh 0.219 0.000 0.560 1
# total moment	0.00	μB per cell
# polymorph energy (0 for the lowest one)	0	meV per atom
# energy of formation from the pure elements	-0.190	eV per atom
# electronic total energy	-34.977	eV/cell

[4]
# Hf2TeMo | the Alexandria database | PBE | relaxed
data_Hf2TeMo
_chemical_formula_sum 'Hf8 Te4 Mo4'
_cell_length_a 4.213
_cell_length_b 4.213
_cell_length_c 19.870
_cell_angle_alpha 90.00
_cell_angle_beta 90.00
_cell_angle_gamma 90.00
_symmetry_space_group_name_H-M 'I -4 2 d'
_symmetry_Int_Tables_number 122
_symmetry_space_group_name_Hall 'I -4 2bw'
loop_
_atom_site_label
_atom_site_type_symbol
_atom_site_fract_x
_atom_site_fract_y
_atom_site_fract_z
_atom_site_occupancy
Hf1 Hf 0.249 0.250 0.125 1
Te1 Te 0.000 0.000 0.500 1
Mo1 Mo 0.000 0.000 0.000 1
# total moment	2.80	μB per cell
# formation energy without anion corrections	0.481	eV per atom
# electronic total energy	-127.826	eV/cell

[5]
# Mn2Bi2C | the Alexandria database | PBE | relaxed
data_Mn2Bi2C
_chemical_formula_sum 'Mn4 Bi4 C2'
_cell_length_a 5.953
_cell_length_b 5.953
_cell_length_c 5.743
_cell_angle_alpha 90.00
_cell_angle_beta 90.00
_cell_angle_gamma 90.00
_symmetry_space_group_name_H-M 'P 4/m b m'
_symmetry_Int_Tables_number 127
_symmetry_space_group_name_Hall '-P 4 2ab'
loop_
_atom_site_label
_atom_site_type_symbol
_atom_site_fract_x
_atom_site_fract_y
_atom_site_fract_z
_atom_site_occupancy
Mn1 Mn 0.242 0.258 0.000 1
Bi1 Bi 0.194 0.694 0.500 1
C1 C 0.000 0.000 0.000 1
# total moment	13.26	μB per cell
# polymorph energy (0 for the lowest one)	0	meV per atom
# energy of formation from the pure elements	0.710	eV per atom
# electronic total energy	-63.553	eV/cell